The following is a DFT calculation (GGA-PBE) of a relaxed structure of BiPd6.

- VASP energy: -4.094 eV per atom
- V: 344.2 Å³/cell
- Distance to the lowest polymorph of the same formula: 1043 meV/atom
- M_tot: 0.214 μB/atom
- ΔE_f: 0.9117 eV per atom
- Crystal system: cubic

Lattice parameters (Å, degrees): 7.008 7.008 7.008 90.00 90.00 90.00
Space group Im-3m (No. 229)
Symmetry-distinct sites (fractional):
Bi 0.000 0.000 0.000 (multiplicity 2)
Pd 0.000 0.250 0.500 (multiplicity 12)